A relaxed TbTmUO6 crystal. Source: Alexandria, functional PBE.

Cell lengths 5.7235, 5.7235, 9.4474 Å; angles 90.00, 90.00, 120.00 degrees
Last column: nearest neighbours and their distance in Å.
Fractional positions:
O 0.3361 0.3542 0.8651  1 U 2.10, 1 Tm 2.24
O 0.0181 0.6639 0.8651  1 U 2.10, 1 Tm 2.24
O 0.9819 0.3361 0.1349  1 U 2.10, 1 Tm 2.24
O 0.0181 0.3542 0.6349  1 U 2.10, 1 Tm 2.24
O 0.6639 0.0181 0.3651  1 U 2.10, 1 Tm 2.24
O 0.6458 0.6639 0.6349  1 U 2.10, 1 Tm 2.24
O 0.6458 0.9819 0.8651  1 U 2.10, 1 Tm 2.24
O 0.3361 0.9819 0.6349  1 U 2.10, 1 Tm 2.24
O 0.3542 0.3361 0.3651  1 U 2.10, 1 Tm 2.24
O 0.3542 0.0181 0.1349  1 U 2.10, 1 Tm 2.24
O 0.6639 0.6458 0.1349  1 U 2.10, 1 Tm 2.24
O 0.9819 0.6458 0.3651  1 U 2.10, 1 Tm 2.24
Tm 0.6667 0.3333 0.7500  6 O 2.24
Tm 0.3333 0.6667 0.2500  6 O 2.24
U 0.3333 0.6667 0.7500  6 O 2.10
U 0.6667 0.3333 0.2500  6 O 2.10
Tb 0.0000 0.0000 0.5000  6 O 2.35
Tb 0.0000 0.0000 0.0000  6 O 2.35

Computed properties:
- density of states at the Fermi level (states/eV per atom) = 0.000
- total energy (eV/cell) = -161.06
- uncorrected formation energy (meV per atom) = -3377

***

A relaxed LaPuPt4 crystal. Source: Alexandria, functional PBE.

Cell lengths 5.5125, 5.5125, 5.5125 Å; angles 60.00, 60.00, 60.00 degrees
Last column: nearest neighbours and their distance in Å.
Fractional positions:
Pt 0.6255 0.1235 0.6255  6 Pt 2.75-2.77
Pt 0.1235 0.6255 0.6255  6 Pt 2.75-2.77
Pt 0.6255 0.6255 0.1235  6 Pt 2.75-2.77
Pt 0.6255 0.6255 0.6255  6 Pt 2.75-2.77
Pu 0.0000 0.0000 0.0000  12 Pt 3.23, 4 La 3.38
La 0.2500 0.2500 0.2500  12 Pt 3.23, 4 Pu 3.38

Computed properties:
- E_form (eV per atom) = -0.96
- density of states at the Fermi level (states/eV per atom) = 2.754
- total energy (eV/cell) = -49.18

***

A relaxed CeYGa crystal. Source: Alexandria, functional PBE.

Cell lengths 4.2504, 4.3847, 8.3119 Å; angles 90.89, 90.00, 90.00 degrees
Last column: nearest neighbours and their distance in Å.
Fractional positions:
Y 0.2500 0.2520 0.3663  5 Ga 3.00-3.18
Y 0.7500 0.7480 0.6337  5 Ga 3.00-3.18
Ce 0.7500 0.2044 0.0079  2 Ce 2.78, 1 Ga 3.02
Ce 0.2500 0.7956 0.9921  2 Ce 2.78, 1 Ga 3.02
Ga 0.7500 0.7397 0.2728  5 Y 3.00-3.18, 4 Ce 3.02-3.19
Ga 0.2500 0.2603 0.7272  5 Y 3.00-3.18, 4 Ce 3.02-3.19

Computed properties:
- E_form (eV per atom) = -0.43
- density of states at the Fermi level (states/eV per atom) = 1.195
- total energy (eV/cell) = -33.42
- relative energy among the computed polymorphs (meV per atom) = 0.0

***

A relaxed NpBe8As6 crystal. Source: Alexandria, functional PBE.

Cell lengths 6.6445, 6.6445, 12.1944 Å; angles 90.00, 90.00, 120.00 degrees
Last column: nearest neighbours and their distance in Å.
Fractional positions:
Be 0.0000 0.6535 0.6142  1 Be 2.19, 3 As 2.30-2.40
Be 0.3465 0.0000 0.1142  1 Be 2.19, 3 As 2.30-2.40
Be 0.6535 0.0000 0.6142  1 Be 2.19, 3 As 2.30-2.40
Be 0.3333 0.6667 0.3844  4 As 2.25-2.27, 3 Be 2.35
Be 0.6535 0.6535 0.1142  1 Be 2.19, 3 As 2.30-2.40
Be 0.3841 0.3841 0.7924  3 Be 2.19-2.35, 3 As 2.21-2.37
Be 0.0000 0.6159 0.7924  3 Be 2.19-2.35, 3 As 2.21-2.37
Be 0.3333 0.6667 0.8844  4 As 2.25-2.27, 3 Be 2.35
Be 0.3841 0.0000 0.2924  3 Be 2.19-2.35, 3 As 2.21-2.37
Be 0.3465 0.3465 0.6142  1 Be 2.19, 3 As 2.30-2.40
Be 0.0000 0.3841 0.2924  3 Be 2.19-2.35, 3 As 2.21-2.37
Be 0.6667 0.3333 0.3844  4 As 2.25-2.27, 3 Be 2.35
Be 0.6159 0.6159 0.2924  3 Be 2.19-2.35, 3 As 2.21-2.37
Be 0.0000 0.3465 0.1142  1 Be 2.19, 3 As 2.30-2.40
Be 0.6667 0.3333 0.8844  4 As 2.25-2.27, 3 Be 2.35
Be 0.6159 0.0000 0.7924  3 Be 2.19-2.35, 3 As 2.21-2.37
As 0.6667 0.3333 0.1980  7 Be 2.27-2.40
As 0.0000 0.5731 0.9721  4 Be 2.21-2.30
As 0.5731 0.0000 0.9721  4 Be 2.21-2.30
As 0.4269 0.4269 0.9721  4 Be 2.21-2.30
As 0.0000 0.0000 0.1958  3 Be 2.51
As 0.0000 0.4269 0.4721  4 Be 2.21-2.30
As 0.3333 0.6667 0.6980  7 Be 2.27-2.40
As 0.3333 0.6667 0.1980  7 Be 2.27-2.40
As 0.6667 0.3333 0.6980  7 Be 2.27-2.40
As 0.5731 0.5731 0.4721  4 Be 2.21-2.30
As 0.4269 0.0000 0.4721  4 Be 2.21-2.30
As 0.0000 0.0000 0.6958  3 Be 2.51
Np 0.0000 0.0000 0.9487  5 As 2.85-3.08, 6 Be 3.06-3.18
Np 0.0000 0.0000 0.4487  5 As 2.85-3.08, 6 Be 3.06-3.18

Computed properties:
- E_form (eV per atom) = 0.03
- density of states at the Fermi level (states/eV per atom) = 0.858
- total energy (eV/cell) = -140.43

***

- density of states at the Fermi level of number 2 (LaPuPt4)?
  2.754 states/eV per atom

***

- Which formula does entry 1 have?
  TbTmUO6

***

- Which value of total energy does entry 2 give?
  -49.18 eV/cell